1.
# Ba3YO, optimized geometry, DFT PBEsol
data_Ba3YO
_space_group_name_H-M_alt 'P m -3 m'
_space_group_IT_number 221
_space_group_name_Hall '-P 4 2 3'
_cell_length_a 5.568
_cell_length_b 5.568
_cell_length_c 5.568
_cell_angle_alpha 90.00
_cell_angle_beta 90.00
_cell_angle_gamma 90.00
loop_
_atom_site_label
_atom_site_type_symbol
_atom_site_fract_x
_atom_site_fract_y
_atom_site_fract_z
Ba1 Ba 0.000 0.000 0.500
Y1 Y 0.500 0.500 0.500
O1 O 0.000 0.000 0.000
# Relative energy among the computed polymorphs ... 0.0 kJ/mol of formula units
# Magnetic moment ... 0.042 μB/f.u.
# Formation energy from raw total energies ... -0.760 eV per atom
# DFT total energy ... -4.463 eV per atom

2.
# Ba3YO, optimized geometry, DFT PBEsol
data_Ba3YO
_space_group_name_H-M_alt 'P m -3 m'
_space_group_IT_number 221
_space_group_name_Hall '-P 4 2 3'
_cell_length_a 6.070
_cell_length_b 6.070
_cell_length_c 6.070
_cell_angle_alpha 90.00
_cell_angle_beta 90.00
_cell_angle_gamma 90.00
loop_
_atom_site_label
_atom_site_type_symbol
_atom_site_fract_x
_atom_site_fract_y
_atom_site_fract_z
Ba1 Ba 0.000 0.000 0.500
Y1 Y 0.000 0.000 0.000
O1 O 0.500 0.500 0.500
# Relative energy among the computed polymorphs ... 780.2 kJ/mol of formula units
# Magnetic moment ... 0.001 μB/f.u.
# Formation energy from raw total energies ... 0.858 eV per atom
# DFT total energy ... -2.846 eV per atom

3.
# BaY2O4, optimized geometry, DFT PBEsol
data_BaY2O4
_space_group_name_H-M_alt 'P n m a'
_space_group_IT_number 62
_space_group_name_Hall '-P 2ac 2n'
_cell_length_a 10.343
_cell_length_b 3.440
_cell_length_c 12.044
_cell_angle_alpha 90.00
_cell_angle_beta 90.00
_cell_angle_gamma 90.00
loop_
_atom_site_label
_atom_site_type_symbol
_atom_site_fract_x
_atom_site_fract_y
_atom_site_fract_z
Ba1 Ba 0.247 0.250 0.150
Y1 Y 0.074 0.250 0.389
Y2 Y 0.077 0.250 0.891
O1 O 0.018 0.750 0.783
O2 O 0.070 0.250 0.574
O3 O 0.116 0.750 0.018
O4 O 0.210 0.750 0.340
# Magnetic moment ... 0.000 μB/f.u.
# Formation energy from raw total energies ... -3.339 eV per atom
# DFT total energy ... -8.595 eV per atom

4.
# BaY2O2, optimized geometry, DFT PBEsol
data_BaY2O2
_space_group_name_H-M_alt 'I 4/m m m'
_space_group_IT_number 139
_space_group_name_Hall '-I 4 2'
_cell_length_a 3.944
_cell_length_b 3.944
_cell_length_c 17.941
_cell_angle_alpha 90.00
_cell_angle_beta 90.00
_cell_angle_gamma 90.00
loop_
_atom_site_label
_atom_site_type_symbol
_atom_site_fract_x
_atom_site_fract_y
_atom_site_fract_z
Ba1 Ba 0.000 0.000 0.000
Y1 Y 0.000 0.000 0.307
O1 O 0.000 0.500 0.250
# Magnetic moment ... 0.000 μB/f.u.
# Formation energy from raw total energies ... -2.334 eV per atom
# DFT total energy ... -7.593 eV per atom